[1]
# Ni2Ge2Bi, relaxed, DFT GGA-PBE
# uncorrected energy = -4.94 eV/atom
data_Ni2Ge2Bi
_chemical_formula_sum 'Ni4 Ge4 Bi2'
_cell_length_a 3.853
_cell_length_b 3.853
_cell_length_c 11.456
_cell_angle_alpha 90.00
_cell_angle_beta 90.00
_cell_angle_gamma 90.00
_space_group_name_H-M_alt 'I 4/m m m'
_space_group_IT_number 139
_space_group_name_Hall '-I 4 2'
loop_
_atom_site_label
_atom_site_type_symbol
_atom_site_fract_x
_atom_site_fract_y
_atom_site_fract_z
Ni1 Ni 0.000 0.000 0.116
Ge1 Ge 0.000 0.500 0.250
Bi1 Bi 0.000 0.000 0.500

***

[2]
# Ni3GeBi, relaxed, DFT GGA-PBE
# uncorrected energy = -4.89 eV/atom
data_Ni3GeBi
_chemical_formula_sum 'Ni3 Ge1 Bi1'
_cell_length_a 4.426
_cell_length_b 4.426
_cell_length_c 4.426
_cell_angle_alpha 90.00
_cell_angle_beta 90.00
_cell_angle_gamma 90.00
_space_group_name_H-M_alt 'P m -3 m'
_space_group_IT_number 221
_space_group_name_Hall '-P 4 2 3'
loop_
_atom_site_label
_atom_site_type_symbol
_atom_site_fract_x
_atom_site_fract_y
_atom_site_fract_z
Ni1 Ni 0.000 0.000 0.500
Ge1 Ge 0.000 0.000 0.000
Bi1 Bi 0.500 0.500 0.500

***

Listing formation enthalpy at 0 K for the structures above in their given order: -0.0044, 0.2822 eV per atom.